[1]
First-principles (PBE) data for NiMo2Cl after structural relaxation, as listed in Alexandria.

Results
- ΔE_f (raw) (meV/atom) = 878
- ΔE to the lowest computed polymorph (meV per atom) = 668
- electronic total energy (eV/atom) = -6.44

CIF file:
```
data_NiMo2Cl
_cell_length_a 3.866
_cell_length_b 3.866
_cell_length_c 7.821
_cell_angle_alpha 90.00
_cell_angle_beta 90.00
_cell_angle_gamma 90.00
_space_group_name_H-M_alt 'I 4/m m m'
_space_group_IT_number 139
_space_group_name_Hall '-I 4 2'
loop_
_atom_site_label
_atom_site_fract_x
_atom_site_fract_y
_atom_site_fract_z
Ni1 0.000 0.000 0.000
Mo1 0.000 0.500 0.250
Cl1 0.000 0.000 0.500
```

***

[2]
First-principles (PBE) data for Ba2SrSn2 after structural relaxation, as listed in Alexandria.

Results
- ΔE to the lowest computed polymorph (meV per atom) = 399
- electronic total energy (eV/atom) = -2.90
- E_form (eV per atom) = -0.192

CIF file:
```
data_Ba2SrSn2
_cell_length_a 6.220
_cell_length_b 6.220
_cell_length_c 11.807
_cell_angle_alpha 90.00
_cell_angle_beta 90.00
_cell_angle_gamma 90.00
_space_group_name_H-M_alt 'I 4/m m m'
_space_group_IT_number 139
_space_group_name_Hall '-I 4 2'
loop_
_atom_site_label
_atom_site_fract_x
_atom_site_fract_y
_atom_site_fract_z
Ba1 0.000 0.000 0.150
Sr1 0.000 0.000 0.500
Sn1 0.000 0.500 0.250
```